Entry 1:
The following is a DFT calculation (PBE) of ThMgHg after structural relaxation.

Cell: 5.0659 5.0659 3.4568 Å, 90.00 90.00 120.00°
Positions (direct):
Th (0.0000, 0.0000, 0.0000)
Mg (0.3333, 0.6667, 0.5000)
Hg (0.6667, 0.3333, 0.5000)

Calculated values
Energy of formation from the pure elements in eV per atom: -0.180
Size of the total moment in μB/f.u.: 0.000
Electronic total energy in eV/cell: -9.9
Density of states at the Fermi level in states/eV per cell: 2.67

=====

Entry 2:
The following is a DFT calculation (PBE) of SbIOF2 after structural relaxation.

Cell: 4.5505 4.5505 4.3057 Å, 90.00 90.00 90.00°
Positions (direct):
Sb (0.0000, 0.0000, 0.0000)
I (0.5000, 0.5000, 0.5000)
O (0.0000, 0.0000, 0.5000)
F (0.0000, 0.5000, 0.0000)
F (0.5000, 0.0000, 0.0000)

Calculated values
Formation energy from raw total energies in eV/atom: -1.002
Size of the total moment in μB/f.u.: 1.559
Energy relative to the lowest polymorph listed for this composition in eV per atom: 0.0000
Electronic total energy in eV/cell: -19.4
Density of states at the Fermi level in states/eV per cell: 3.66

=====

Entry 3:
The following is a DFT calculation (PBE) of CoNi2Ge2 after structural relaxation.

Cell: 6.5519 6.5519 2.9524 Å, 90.00 90.00 90.00°
Positions (direct):
Co (0.0000, 0.0000, 0.0000)
Co (0.5000, 0.5000, 0.0000)
Ni (0.1395, 0.3605, 0.5000)
Ni (0.3605, 0.8605, 0.5000)
Ni (0.6395, 0.1395, 0.5000)
Ni (0.8605, 0.6395, 0.5000)
Ge (0.1581, 0.6581, 0.0000)
Ge (0.3419, 0.1581, 0.0000)
Ge (0.6581, 0.8419, 0.0000)
Ge (0.8419, 0.3419, 0.0000)

Calculated values
Energy of formation from the pure elements in eV per atom: -0.083
Size of the total moment in μB/f.u.: 0.840
Energy relative to the lowest polymorph listed for this composition in eV per atom: 0.0449
Electronic total energy in eV/cell: -56.6
Density of states at the Fermi level in states/eV per cell: 6.72

=====

Entry 4:
The following is a DFT calculation (PBE) of TcAgBr2 after structural relaxation.

Cell: 5.8984 3.4033 9.9175 Å, 90.00 100.49 90.00°
Positions (direct):
Tc (0.0000, 0.0000, 0.0000)
Tc (0.5000, 0.5000, 0.0000)
Ag (0.0000, 0.5000, 0.5000)
Ag (0.5000, 0.0000, 0.5000)
Br (0.2191, 0.5000, 0.1714)
Br (0.2809, 0.0000, 0.8286)
Br (0.7191, 0.0000, 0.1714)
Br (0.7809, 0.5000, 0.8286)

Calculated values
Formation energy from raw total energies in eV/atom: 0.360
Size of the total moment in μB/f.u.: 1.068
Energy relative to the lowest polymorph listed for this composition in eV per atom: 0.1490
Electronic total energy in eV/cell: -30.2
Density of states at the Fermi level in states/eV per cell: 5.10

=====

Entry 5:
The following is a DFT calculation (PBE) of LiPm2Th3Se6 after structural relaxation.

Cell: 9.3541 9.3541 8.4218 Å, 104.69 104.69 25.55°
Positions (direct):
Li (0.0000, 0.0000, 0.0000)
Pm (0.3319, 0.3319, 0.6673)
Pm (0.6681, 0.6681, 0.3327)
Th (0.0000, 0.0000, 0.5000)
Th (0.3291, 0.3291, 0.1650)
Th (0.6709, 0.6709, 0.8350)
Se (0.1556, 0.1556, 0.0771)
Se (0.1668, 0.1668, 0.5791)
Se (0.4985, 0.4985, 0.2366)
Se (0.5015, 0.5015, 0.7634)
Se (0.8332, 0.8332, 0.4209)
Se (0.8444, 0.8444, 0.9229)

Calculated values
Formation energy from raw total energies in eV/atom: -1.622
Size of the total moment in μB/f.u.: 0.000
Electronic total energy in eV/cell: -74.0
Density of states at the Fermi level in states/eV per cell: 6.76

=====

Entry 6:
The following is a DFT calculation (PBE) of NaSr2CaHg after structural relaxation.

Cell: 6.3545 6.3545 5.7286 Å, 90.00 90.00 90.00°
Positions (direct):
Na (0.0000, 0.0000, 0.0000)
Sr (0.0000, 0.5000, 0.5000)
Sr (0.5000, 0.0000, 0.5000)
Ca (0.5000, 0.5000, 0.0000)
Hg (0.0000, 0.0000, 0.5000)

Calculated values
Energy of formation from the pure elements in eV per atom: -0.047
Size of the total moment in μB/f.u.: 0.000
Energy relative to the lowest polymorph listed for this composition in eV per atom: 0.0724
Electronic total energy in eV/cell: -7.2
Density of states at the Fermi level in states/eV per cell: 4.20